A relaxed structure of ZrSbSCl2, computed with PBE-GGA.

abc: 5.255 5.255 5.266
angles: 90.00 90.00 90.00
Element x y z (fractional)
Zr1 0.000 0.000 0.000
Sb1 0.500 0.500 0.500
S1 0.500 0.500 0.000
Cl1 0.000 0.500 0.500
Cl2 0.500 0.000 0.500

Computed properties:
- calculated volume (Å³/cell) = 145.41
- size of the total moment (μB per atom) = 0.523
- density of states at the Fermi level (states/eV/cell) = 4.7
- relative energy among the computed polymorphs (eV per atom) = 0.875